1.
{
  "formula": "AsPb2Au",
  "functional": "PBE",
  "state": "optimized geometry",
  "lattice": [[4.248, 0.000, 0.000], [0.000, 23.609, 0.000], [0.000, 0.000, 4.217]],
  "species": ["As", "As", "As", "As", "Pb", "Pb", "Pb", "Pb", "Pb", "Pb", "Pb", "Pb", "Au", "Au", "Au", "Au"],
  "frac_coords": [[0.000, 0.188, 0.250], [0.000, 0.812, 0.750], [0.500, 0.312, 0.750], [0.500, 0.688, 0.250], [0.000, 0.068, 0.250], [0.000, 0.323, 0.250], [0.000, 0.677, 0.750], [0.000, 0.932, 0.750], [0.500, 0.177, 0.750], [0.500, 0.432, 0.750], [0.500, 0.568, 0.250], [0.500, 0.823, 0.250], [0.000, 0.454, 0.250], [0.000, 0.546, 0.750], [0.500, 0.046, 0.750], [0.500, 0.954, 0.250]],
  "sg": "Cmcm",
  "delta_e_f_ev_per_atom": -0.022,
  "n_ef_per_ev_fu": 1.60
}

***

2.
{
  "formula": "Tb2PuOs2",
  "functional": "PBE",
  "state": "optimized geometry",
  "lattice": [[5.000, -2.889, 0.000], [5.000, 2.889, 0.000], [-1.662, 0.000, 7.798]],
  "species": ["Tb", "Tb", "Tb", "Tb", "Pu", "Pu", "Os", "Os", "Os", "Os"],
  "frac_coords": [[0.014, 0.288, 0.150], [0.288, 0.014, 0.650], [0.712, 0.986, 0.350], [0.986, 0.712, 0.850], [0.362, 0.638, 0.250], [0.638, 0.362, 0.750], [0.223, 0.506, 0.493], [0.494, 0.777, 0.007], [0.506, 0.223, 0.993], [0.777, 0.494, 0.507]],
  "sg": "C2/c",
  "delta_e_f_ev_per_atom": -0.225,
  "n_ef_per_ev_fu": 6.04
}

***

3.
{
  "formula": "BaMnSe2",
  "functional": "PBE",
  "state": "optimized geometry",
  "lattice": [[7.466, 0.000, 0.000], [0.000, 7.466, 0.000], [0.000, 0.000, 7.466]],
  "species": ["Ba", "Ba", "Ba", "Ba", "Mn", "Mn", "Mn", "Mn", "Se", "Se", "Se", "Se", "Se", "Se", "Se", "Se"],
  "frac_coords": [[0.000, 0.000, 0.000], [0.000, 0.500, 0.500], [0.500, 0.000, 0.500], [0.500, 0.500, 0.000], [0.250, 0.250, 0.750], [0.250, 0.750, 0.250], [0.750, 0.250, 0.250], [0.750, 0.750, 0.750], [0.000, 0.000, 0.500], [0.000, 0.500, 0.000], [0.250, 0.250, 0.250], [0.250, 0.750, 0.750], [0.500, 0.000, 0.000], [0.500, 0.500, 0.500], [0.750, 0.250, 0.750], [0.750, 0.750, 0.250]],
  "sg": "F-43m",
  "formation_energy_uncorrected_ev_per_fu": -0.67,
  "n_ef_per_ev_fu": 1.18
}

***

4.
{
  "formula": "YAlCoRh",
  "functional": "PBE",
  "state": "optimized geometry",
  "lattice": [[6.361, 0.000, 0.000], [0.000, 6.361, 0.000], [0.000, 0.000, 6.361]],
  "species": ["Y", "Y", "Y", "Y", "Al", "Al", "Al", "Al", "Co", "Co", "Co", "Co", "Rh", "Rh", "Rh", "Rh"],
  "frac_coords": [[0.000, 0.000, 0.000], [0.000, 0.500, 0.500], [0.500, 0.000, 0.500], [0.500, 0.500, 0.000], [0.000, 0.000, 0.500], [0.000, 0.500, 0.000], [0.500, 0.000, 0.000], [0.500, 0.500, 0.500], [0.250, 0.250, 0.250], [0.250, 0.750, 0.750], [0.750, 0.250, 0.750], [0.750, 0.750, 0.250], [0.250, 0.250, 0.750], [0.250, 0.750, 0.250], [0.750, 0.250, 0.250], [0.750, 0.750, 0.750]],
  "sg": "F-43m",
  "delta_e_f_ev_per_atom": -0.544,
  "n_ef_per_ev_fu": 1.04
}